[1]
A plane-wave DFT calculation with GGA-PBE was carried out for a geometry-optimized InSbWI2 structure.

Cell lengths 5.767, 5.767, 5.844 Å; angles 90.00, 90.00, 90.00 degrees
Each line ends with the local moment (μB).
Element x y z (fractional)
I 0.000 0.500 0.000  -0.04
I 0.500 0.000 0.000  -0.04
Sb 0.000 0.000 0.500  -0.45
W 0.500 0.500 0.500  3.47
In 0.000 0.000 0.000  -0.01

Calculated values
E_form (uncorrected)	1.480	eV/atom
calculated total energy	-15.515	eV/f.u.
magnetization	3.6	μB per formula unit

***

[2]
A plane-wave DFT calculation with GGA-PBE was carried out for a geometry-optimized LiLa2Nd2Au4 structure.

Cell lengths 6.698, 6.698, 6.698 Å; angles 100.30, 114.24, 114.24 degrees
Element x y z (fractional)
Li 0.000 0.000 0.000
La 0.500 0.750 0.250
La 0.500 0.250 0.750
Nd 0.000 0.683 0.683
Nd 0.000 0.317 0.317
Au 0.000 0.759 0.241
Au 0.518 0.759 0.759
Au 0.000 0.241 0.759
Au 0.482 0.241 0.241

Calculated values
calculated total energy	-39.293	eV/f.u.
ΔH_f (0 K)	-0.542	eV/atom
magnetization	0.0	μB per formula unit

***

[3]
A plane-wave DFT calculation with GGA-PBE was carried out for a geometry-optimized AgSbRu2 structure.

Cell lengths 9.521, 9.521, 9.521 Å; angles 17.78, 17.78, 17.78 degrees
Element x y z (fractional)
Ag 0.743 0.743 0.743
Ru 0.993 0.993 0.993
Ru 0.255 0.255 0.255
Sb 0.509 0.509 0.509

Calculated values
E_form (uncorrected)	0.416	eV/atom
calculated total energy	-23.861	eV/f.u.
magnetization	0.0	μB per formula unit

***

[4]
A plane-wave DFT calculation with GGA-PBE was carried out for a geometry-optimized Al5CuSe8 structure.

Cell lengths 7.518, 7.518, 7.518 Å; angles 60.00, 60.00, 60.00 degrees
Element x y z (fractional)
Al 0.250 0.250 0.250
Al 0.632 0.104 0.632
Al 0.104 0.632 0.632
Al 0.632 0.632 0.104
Al 0.632 0.632 0.632
Cu 0.000 0.000 0.000
Se 0.384 0.384 0.384
Se 0.384 0.384 0.848
Se 0.848 0.384 0.384
Se 0.384 0.848 0.384
Se 0.869 0.394 0.869
Se 0.394 0.869 0.869
Se 0.869 0.869 0.394
Se 0.869 0.869 0.869

Calculated values
E_form (uncorrected)	-0.765	eV/atom
calculated total energy	-61.394	eV/f.u.
magnetization	0.0	μB per formula unit

***

[5]
A plane-wave DFT calculation with GGA-PBE was carried out for a geometry-optimized GaAsPb2 structure.

Cell lengths 5.281, 5.281, 5.281 Å; angles 60.00, 60.00, 60.00 degrees
Element x y z (fractional)
Pb 0.250 0.250 0.250
Pb 0.750 0.750 0.750
As 0.500 0.500 0.500
Ga 0.000 0.000 0.000

Calculated values
calculated total energy	-14.534	eV/f.u.
ΔH_f (0 K)	0.140	eV/atom
magnetization	0.0	μB per formula unit

***

[6]
A plane-wave DFT calculation with GGA-PBE was carried out for a geometry-optimized TaCuBr2 structure.

Cell lengths 4.804, 4.804, 3.198 Å; angles 90.00, 90.00, 90.00 degrees
Element x y z (fractional)
Br 0.000 0.000 0.000
Br 0.500 0.500 0.000
Cu 0.500 0.000 0.500
Ta 0.000 0.500 0.500

Calculated values
E_form (uncorrected)	0.733	eV/atom
calculated total energy	-16.361	eV/f.u.
magnetization	0.0	μB per formula unit

***

[7]
A plane-wave DFT calculation with GGA-PBE was carried out for a geometry-optimized ZnRh3Pb structure.

Cell lengths 4.962, 4.962, 4.962 Å; angles 90.00, 90.00, 90.00 degrees
Each line ends with the local moment (μB).
Element x y z (fractional)
Pb 0.000 0.000 0.000  -0.03
Zn 0.500 0.500 0.500  -0.01
Rh 0.000 0.500 0.000  0.34
Rh 0.000 0.000 0.500  0.45
Rh 0.500 0.000 0.000  0.21

Calculated values
calculated total energy	-20.298	eV/f.u.
ΔH_f (0 K)	1.348	eV/atom
magnetization	0.9	μB per formula unit

***

[8]
A plane-wave DFT calculation with GGA-PBE was carried out for a geometry-optimized Nd2DyTmSb4 structure.

Cell lengths 4.448, 7.700, 7.689 Å; angles 109.50, 90.00, 90.00 degrees
Element x y z (fractional)
Nd 0.500 0.000 0.500
Nd 0.000 0.500 0.500
Dy 0.500 0.500 0.000
Tm 0.000 0.000 0.000
Sb 0.500 0.245 0.239
Sb 0.500 0.755 0.761
Sb 0.000 0.252 0.760
Sb 0.000 0.748 0.240

Calculated values
E_form (uncorrected)	-1.140	eV/atom
calculated total energy	-44.218	eV/f.u.
magnetization	0.0	μB per formula unit

***

V / Å³ per atom: 38.9; 25.2; 17.6; 21.5; 26.0; 18.5; 24.4; 31.0